No. 1
A relaxed structure of AcTb3Sm2. Source: Alexandria via LeMat-Bulk, functional PBE.

Symmetry   No. 15
DOS at the Fermi energy   1.559 states/eV per atom
Energy relative to the lowest polymorph listed for this composition   0 meV/atom
Calculated formation energy   9 kJ/mol of atoms
Total magnetic moment   0.0 μB/f.u.

```
AcTb3Sm2
1.0
4.599 -5.030 0.000
4.599 5.030 0.000
-1.843 0.000 8.957
Ac Tb Sm
2 6 4
direct
0.083 0.917 0.750 Ac
0.917 0.083 0.250 Ac
0.172 0.348 0.003 Tb
0.348 0.172 0.503 Tb
0.424 0.576 0.750 Tb
0.576 0.424 0.250 Tb
0.652 0.828 0.497 Tb
0.828 0.652 0.997 Tb
0.130 0.623 0.374 Sm
0.377 0.870 0.126 Sm
0.623 0.130 0.874 Sm
0.870 0.377 0.626 Sm
```


No. 2
A relaxed structure of TlSb2Cl. Source: Alexandria via LeMat-Bulk, functional PBE.

Symmetry   No. 47
Formation energy without anion corrections   -22 meV per atom
DOS at the Fermi energy   0.491 states/eV per atom
Energy relative to the lowest polymorph listed for this composition   382 meV/atom
Total magnetic moment   0.0 μB/f.u.

```
TlSb2Cl
1.0
3.298 0.000 0.000
0.000 5.979 0.000
0.000 0.000 6.122
Tl Sb Cl
1 2 1
direct
0.000 0.000 0.000 Tl
0.500 0.235 0.500 Sb
0.500 0.765 0.500 Sb
0.000 0.500 0.000 Cl
```


No. 3
A relaxed structure of NaTa2BiPb. Source: Alexandria via LeMat-Bulk, functional PBE.

Symmetry   No. 123
DOS at the Fermi energy   1.587 states/eV per atom
Calculated formation energy   193 kJ/mol of atoms
Total magnetic moment   1.8 μB/f.u.

```
NaTa2BiPb
1.0
5.134 0.000 0.000
0.000 5.134 0.000
0.000 0.000 5.221
Na Ta Bi Pb
1 2 1 1
direct
0.000 0.000 0.000 Na
0.000 0.500 0.000 Ta
0.500 0.000 0.000 Ta
0.500 0.500 0.500 Bi
0.000 0.000 0.500 Pb
```


No. 4
A relaxed structure of Mg3ZrIr. Source: Alexandria via LeMat-Bulk, functional PBE.

Symmetry   No. 221
DOS at the Fermi energy   0.826 states/eV per atom
Energy relative to the lowest polymorph listed for this composition   0 meV/atom
Calculated formation energy   30 kJ/mol of atoms
Total magnetic moment   0.0 μB/f.u.

```
Mg3ZrIr
1.0
4.859 0.000 0.000
0.000 4.859 0.000
0.000 0.000 4.859
Mg Zr Ir
3 1 1
direct
0.000 0.000 0.500 Mg
0.000 0.500 0.000 Mg
0.500 0.000 0.000 Mg
0.500 0.500 0.500 Zr
0.000 0.000 0.000 Ir
```


No. 5
A relaxed structure of La10Tl3I3. Source: Alexandria via LeMat-Bulk, functional PBE.

Symmetry   No. 189
Formation energy without anion corrections   -525 meV per atom
DOS at the Fermi energy   1.359 states/eV per atom
Total magnetic moment   0.0 μB/f.u.

```
La10Tl3I3
1.0
9.637 0.000 0.000
-4.818 8.346 0.000
0.000 0.000 6.684
La Tl I
10 3 3
direct
0.000 0.250 0.000 La
0.000 0.753 0.500 La
0.247 0.247 0.500 La
0.250 0.000 0.000 La
0.333 0.667 0.253 La
0.333 0.667 0.747 La
0.667 0.333 0.253 La
0.667 0.333 0.747 La
0.750 0.750 0.000 La
0.753 0.000 0.500 La
0.000 0.390 0.500 Tl
0.390 0.000 0.500 Tl
0.610 0.610 0.500 Tl
0.000 0.618 0.000 I
0.382 0.382 0.000 I
0.618 0.000 0.000 I
```


No. 6
A relaxed structure of CoReTc2. Source: Alexandria via LeMat-Bulk, functional PBE.

Symmetry   No. 123
DOS at the Fermi energy   1.055 states/eV per atom
Energy relative to the lowest polymorph listed for this composition   0 meV/atom
Calculated formation energy   3 kJ/mol of atoms
Total magnetic moment   0.0 μB/f.u.

```
CoReTc2
1.0
3.788 0.000 0.000
0.000 3.788 0.000
0.000 0.000 3.803
Co Re Tc
1 1 2
direct
0.000 0.000 0.000 Co
0.500 0.500 0.000 Re
0.000 0.500 0.500 Tc
0.500 0.000 0.500 Tc
```


No. 7
A relaxed structure of Pm3NdSn. Source: Alexandria via LeMat-Bulk, functional PBE.

Symmetry   No. 63
DOS at the Fermi energy   1.482 states/eV per atom
Calculated formation energy   -16 kJ/mol of atoms
Total magnetic moment   0.3 μB/f.u.

```
Pm3NdSn
1.0
3.331 -8.467 0.000
3.331 8.467 0.000
0.000 0.000 6.028
Pm Nd Sn
6 2 2
direct
0.000 0.000 0.000 Pm
0.000 0.000 0.500 Pm
0.079 0.417 0.250 Pm
0.417 0.079 0.750 Pm
0.583 0.921 0.250 Pm
0.921 0.583 0.750 Pm
0.443 0.557 0.750 Nd
0.557 0.443 0.250 Nd
0.167 0.833 0.250 Sn
0.833 0.167 0.750 Sn
```


No. 8
A relaxed structure of BiRu2O6. Source: Alexandria via LeMat-Bulk, functional PBE.

Symmetry   No. 162
Formation energy without anion corrections   -981 meV per atom
DOS at the Fermi energy   0.514 states/eV per atom
Total magnetic moment   4.3 μB/f.u.

```
BiRu2O6
1.0
5.275 0.000 0.000
-2.637 4.568 0.000
0.000 0.000 4.909
Bi Ru O
1 2 6
direct
0.000 0.000 0.000 Bi
0.333 0.667 0.500 Ru
0.667 0.333 0.500 Ru
0.000 0.366 0.719 O
0.000 0.634 0.281 O
0.366 0.000 0.719 O
0.366 0.366 0.281 O
0.634 0.000 0.281 O
0.634 0.634 0.719 O
```